(i)
# K3FeI6

An optimized crystal structure of K3FeI6 (PBE-GGA, Alexandria via LeMat-Bulk).

Output
Space group: No. 148
Total magnetization (μB per formula unit): 4.99

Cell lengths 9.7578, 9.7578, 9.7578 Å; angles 89.86, 89.86, 89.86 degrees
With the nearest neighbours (Å) after each atom.
Element x y z (fractional)
K1 0.0671 0.7376 0.5813  6 I 3.53-3.61
K2 0.2624 0.4187 0.9329  6 I 3.53-3.61
K3 0.4187 0.9329 0.2624  6 I 3.53-3.61
K4 0.5813 0.0671 0.7376  6 I 3.53-3.61
K5 0.7376 0.5813 0.0671  6 I 3.53-3.61
K6 0.9329 0.2624 0.4187  6 I 3.53-3.61
Fe1 0.0000 0.0000 0.0000  6 I 2.82
Fe2 0.5000 0.5000 0.5000  6 I 2.83
I1 0.0483 0.7208 0.9441  1 Fe 2.82
I2 0.0559 0.9517 0.2792  1 Fe 2.82
I3 0.2326 0.4110 0.5680  1 Fe 2.83
I4 0.2792 0.0559 0.9517  1 Fe 2.82
I5 0.4110 0.5680 0.2326  1 Fe 2.83
I6 0.4320 0.7674 0.5890  1 Fe 2.83
I7 0.5680 0.2326 0.4110  1 Fe 2.83
I8 0.5890 0.4320 0.7674  1 Fe 2.83
I9 0.7208 0.9441 0.0483  1 Fe 2.82
I10 0.7674 0.5890 0.4320  1 Fe 2.83
I11 0.9441 0.0483 0.7208  1 Fe 2.82
I12 0.9517 0.2792 0.0559  1 Fe 2.82

---

(ii)
# K3FeI6

An optimized crystal structure of K3FeI6 (PBE-GGA, Alexandria via LeMat-Bulk).

Output
Space group: No. 36
Total magnetization (μB per formula unit): 4.56

Cell lengths 11.5212, 11.5212, 7.6413 Å; angles 90.00, 90.00, 103.40 degrees
With the nearest neighbours (Å) after each atom.
Element x y z (fractional)
K1 0.1013 0.8987 0.5000  6 I 3.55-3.84
K2 0.2108 0.4210 0.5387  6 I 3.45-3.78
K3 0.4210 0.2108 0.0387  6 I 3.45-3.78
K4 0.5790 0.7892 0.5387  6 I 3.45-3.78
K5 0.7892 0.5790 0.0387  6 I 3.45-3.78
K6 0.8987 0.1013 0.0000  6 I 3.55-3.84
Fe1 0.3040 0.6960 0.1113  4 I 2.59-2.60
Fe2 0.6960 0.3040 0.6113  4 I 2.59-2.60
I1 0.0939 0.6114 0.2418  1 Fe 2.59
I2 0.1577 0.1736 0.2696  4 K 3.45-3.56, 2 I 3.83
I3 0.1736 0.1577 0.7696  4 K 3.45-3.56, 2 I 3.83
I4 0.2925 0.7075 0.7722  1 Fe 2.60
I5 0.3886 0.9061 0.2418  1 Fe 2.59
I6 0.4420 0.5580 0.2084  1 Fe 2.60
I7 0.5580 0.4420 0.7084  1 Fe 2.60
I8 0.6114 0.0939 0.7418  1 Fe 2.59
I9 0.7075 0.2925 0.2722  1 Fe 2.60
I10 0.8264 0.8423 0.2696  4 K 3.45-3.56, 2 I 3.83
I11 0.8423 0.8264 0.7696  4 K 3.45-3.56, 2 I 3.83
I12 0.9061 0.3886 0.7418  1 Fe 2.59

---

What should be chosen as the most stable of them? Choose (ii).

---

(i)
# K2FeI4

An optimized crystal structure of K2FeI4 (PBE-GGA, Alexandria via LeMat-Bulk).

Output
Space group: No. 121
Total magnetization (μB per formula unit): 4.00

Cell lengths 8.4570, 8.4570, 8.4570 Å; angles 120.41, 120.41, 89.30 degrees
With the nearest neighbours (Å) after each atom.
Element x y z (fractional)
K1 0.2500 0.7500 0.5000  4 I 3.47
K2 0.7500 0.2500 0.5000  4 I 3.47
Fe1 0.0000 0.0000 0.0000  4 I 2.64
I1 0.0756 0.0756 0.3791  1 Fe 2.64
I2 0.3035 0.9244 0.0000  1 Fe 2.64
I3 0.6965 0.6965 0.6209  1 Fe 2.64
I4 0.9244 0.3035 0.0000  1 Fe 2.64

---

(ii)
# K2FeI4

An optimized crystal structure of K2FeI4 (PBE-GGA, Alexandria via LeMat-Bulk).

Output
Space group: No. 139
Total magnetization (μB per formula unit): 4.00

Cell lengths 9.6535, 9.6535, 9.6535 Å; angles 145.56, 145.56, 49.50 degrees
With the nearest neighbours (Å) after each atom.
Element x y z (fractional)
K1 0.1357 0.1357 0.0000  5 I 3.55-3.72
K2 0.8643 0.8643 0.0000  5 I 3.55-3.72
Fe1 0.5000 0.5000 0.0000  6 I 2.83-2.86
I1 0.0000 0.5000 0.5000  2 Fe 2.86
I2 0.3385 0.3385 0.0000  1 Fe 2.83
I3 0.5000 0.0000 0.5000  2 Fe 2.86
I4 0.6615 0.6615 0.0000  1 Fe 2.83

---

(iii)
# K2FeI4

An optimized crystal structure of K2FeI4 (PBE-GGA, Alexandria via LeMat-Bulk).

Output
Space group: No. 11
Total magnetization (μB per formula unit): 4.00

Cell lengths 7.9256, 8.2681, 9.8052 Å; angles 90.00, 108.09, 90.00 degrees
With the nearest neighbours (Å) after each atom.
Element x y z (fractional)
K1 0.2183 0.2500 0.0512  6 I 3.54-3.70
K2 0.2586 0.2500 0.5678  6 I 3.64-3.72
K3 0.7414 0.7500 0.4322  6 I 3.64-3.72
K4 0.7817 0.7500 0.9488  6 I 3.54-3.70
Fe1 0.2236 0.7500 0.8004  4 I 2.62-2.64
Fe2 0.7764 0.2500 0.1996  4 I 2.62-2.64
I1 0.0044 0.5010 0.7411  1 Fe 2.64
I2 0.0044 0.9990 0.7411  1 Fe 2.64
I3 0.4025 0.7500 0.0746  1 Fe 2.62
I4 0.4198 0.7500 0.6282  1 Fe 2.63
I5 0.5802 0.2500 0.3718  1 Fe 2.63
I6 0.5975 0.2500 0.9254  1 Fe 2.62
I7 0.9956 0.0010 0.2589  1 Fe 2.64
I8 0.9956 0.4990 0.2589  1 Fe 2.64

---

What should be chosen as the most stable of them? Choose (iii).

---

(i)
# KFe3I

An optimized crystal structure of KFe3I (PBE-GGA, Alexandria via LeMat-Bulk).

Output
Space group: No. 221
Total magnetization (μB per formula unit): 6.10

Cell lengths 4.8376, 4.8376, 4.8376 Å; angles 90.00, 90.00, 90.00 degrees
With the nearest neighbours (Å) after each atom.
Element x y z (fractional)
K1 0.0000 0.0000 0.0000  12 Fe 3.42
Fe1 0.0000 0.5000 0.5000  2 I 2.42
Fe2 0.5000 0.0000 0.5000  2 I 2.42
Fe3 0.5000 0.5000 0.0000  2 I 2.42
I1 0.5000 0.5000 0.5000  6 Fe 2.42

---

(ii)
# KFe3I

An optimized crystal structure of KFe3I (PBE-GGA, Alexandria via LeMat-Bulk).

Output
Space group: No. 221
Total magnetization (μB per formula unit): 8.05

Cell lengths 4.9042, 4.9042, 4.9042 Å; angles 90.00, 90.00, 90.00 degrees
With the nearest neighbours (Å) after each atom.
Element x y z (fractional)
K1 0.0000 0.0000 0.0000  6 Fe 2.45
Fe1 0.0000 0.0000 0.5000  2 K 2.45
Fe2 0.0000 0.5000 0.0000  2 K 2.45
Fe3 0.5000 0.0000 0.0000  2 K 2.45
I1 0.5000 0.5000 0.5000  12 Fe 3.47

---

What should be chosen as the most stable of them? Choose (i).